## CeVO (PBE+U)

Data for CeVO after structural relaxation.

Lattice parameters (Å, degrees): 3.386 4.961 8.079 127.97 102.06 90.00
Each line ends with the local moment (μB).
Fractional positions:
Ce: 0.670 0.090 0.840  -0.15
Ce: 0.330 0.910 0.160  -0.15
O: 0.320 0.390 0.140  -0.02
O: 0.680 0.610 0.860  -0.02
V: 0.078 0.403 0.654  2.44
V: 0.922 0.597 0.346  2.44

Raw total energy ... -7.236 eV/atom
Spin magnetization ... 0.871 μB per atom